No. 1
Compound: SiGeIr2
Source: the Alexandria database
Functional: GGA-PBE
Structure: relaxed

ΔE_f (raw) (eV/atom): -0.088
Total DFT energy (no corrections) (eV per atom): -7.03
Offset from the most stable computed form (kJ/mol of atoms): 42.16
SG: Fm-3m
Crystal system: cubic

```
SiGeIr2
1.0
0.000 3.058 3.058
3.058 0.000 3.058
3.058 3.058 0.000
Ir Ge Si
2 1 1
Direct
0.750 0.750 0.750
0.250 0.250 0.250
0.500 0.500 0.500
0.000 0.000 0.000
```


No. 2
Compound: SiGeIr3
Source: the Alexandria database
Functional: GGA-PBE
Structure: relaxed

ΔE_f (raw) (eV/atom): 1.287
Total DFT energy (no corrections) (eV per atom): -6.04
Offset from the most stable computed form (kJ/mol of atoms): 55.36
SG: Pm-3m
Crystal system: cubic

```
SiGeIr3
1.0
4.570 0.000 0.000
0.000 4.570 0.000
0.000 0.000 4.570
Ir Si Ge
3 1 1
Direct
0.000 0.000 0.500
0.500 0.000 0.000
0.000 0.500 0.000
0.500 0.500 0.500
0.000 0.000 0.000
```


No. 3
Compound: SiGeIr3
Source: the Alexandria database
Functional: GGA-PBE
Structure: relaxed

ΔE_f (raw) (eV/atom): 0.713
Total DFT energy (no corrections) (eV per atom): -6.61
Offset from the most stable computed form (kJ/mol of atoms): 0.00
SG: Pm-3m
Crystal system: cubic

```
SiGeIr3
1.0
4.475 0.000 0.000
0.000 4.475 0.000
0.000 0.000 4.475
Ir Ge Si
3 1 1
Direct
0.000 0.000 0.500
0.500 0.000 0.000
0.000 0.500 0.000
0.500 0.500 0.500
0.000 0.000 0.000
```


No. 4
Compound: Si2GeIr
Source: the Alexandria database
Functional: GGA-PBE
Structure: relaxed

ΔE_f (raw) (eV/atom): 0.030
Total DFT energy (no corrections) (eV per atom): -6.05
SG: I-42d
Crystal system: tetragonal

```
Si2GeIr
1.0
-1.026 -3.705 4.018
-0.548 -3.998 -3.826
4.467 -4.916 0.456
Ir Si Ge
2 4 2
Direct
0.000 0.000 0.000
0.750 0.250 0.500
0.105 0.625 0.250
0.875 0.895 0.750
0.645 0.125 0.250
0.375 0.355 0.750
0.250 0.750 0.500
0.500 0.500 0.000
```